No. 1
Entry from Alexandria via LeMat-Bulk: a geometry-optimized KCoNi2 structure (PBE-GGA).

DFT formation energy, meV/atom: 615
E, eV/f.u.: -17.3
Mass density, Mg/m³: 4.99
Total moment, μB per cell: 2.8

abc: 3.945 2.625 6.946
angles: 84.75 90.00 90.00
Last column: magnetic moment on the atom in μB.
Fractional coordinates of all 4 atoms:
Co: 0.000 0.563 0.374  1.74
K: 0.500 0.718 0.753  -0.01
Ni: 0.000 0.128 0.088  0.54
Ni: 0.500 0.092 0.285  0.73

=====

No. 2
Entry from Alexandria via LeMat-Bulk: a geometry-optimized RbCdInHg structure (PBE-GGA).

DFT formation energy, meV/atom: -20
E, eV/f.u.: -5.0
Mass density, Mg/m³: 6.70
Total moment, μB per cell: 0.0

abc: 5.644 5.644 5.644
angles: 60.00 60.00 60.00
Fractional coordinates of all 4 atoms:
Cd: 0.250 0.250 0.250
Hg: 0.750 0.750 0.750
Rb: 0.000 0.000 0.000
In: 0.500 0.500 0.500

=====

No. 3
Entry from Alexandria via LeMat-Bulk: a geometry-optimized DyHo2PaRu2 structure (PBE-GGA).

DFT formation energy, meV/atom: -292
E, eV/f.u.: -43.6
Mass density, Mg/m³: 9.86
Total moment, μB per cell: 0.0

abc: 6.698 6.838 8.318
angles: 114.27 113.74 90.00
Fractional coordinates of all 12 atoms:
Dy: 0.250 0.000 0.000
Dy: 0.750 0.000 0.000
Ho: 0.696 0.892 0.393
Ho: 0.196 0.501 0.393
Ho: 0.804 0.499 0.607
Ho: 0.304 0.108 0.607
Pa: 0.750 0.500 0.000
Pa: 0.250 0.500 0.000
Ru: 0.396 0.602 0.793
Ru: 0.604 0.398 0.207
Ru: 0.104 0.809 0.207
Ru: 0.896 0.191 0.793

=====

No. 4
Entry from Alexandria via LeMat-Bulk: a geometry-optimized LiPmF4 structure (PBE-GGA).

E, eV/f.u.: -36.6
Raw formation energy, eV/atom: -3.75
Mass density, Mg/m³: 4.76
Total moment, μB per cell: 0.0

abc: 5.315 5.331 6.756
angles: 113.16 113.09 90.17
Fractional coordinates of all 12 atoms:
Li: 0.126 0.876 0.752
Li: 0.874 0.124 0.248
Pm: 0.375 0.625 0.250
Pm: 0.625 0.375 0.750
F: 0.045 0.235 0.911
F: 0.766 0.635 0.589
F: 0.366 0.676 0.911
F: 0.324 0.954 0.589
F: 0.676 0.046 0.411
F: 0.634 0.324 0.089
F: 0.234 0.365 0.411
F: 0.955 0.765 0.089